# Li2ReNi, optimized geometry, DFT PBE-GGA
data_Li2ReNi
_space_group_name_H-M_alt 'P 1'
_space_group_IT_number 1
_cell_length_a 5.080
_cell_length_b 5.080
_cell_length_c 5.080
_cell_angle_alpha 140.34
_cell_angle_beta 140.34
_cell_angle_gamma 57.34
loop_
_space_group_symop_operation_xyz
'x,y,z'
loop_
_atom_site_label
_atom_site_type_symbol
_atom_site_fract_x
_atom_site_fract_y
_atom_site_fract_z
Li1 Li 0.000 0.000 0.000
Li2 Li 0.500 0.500 0.000
Ni1 Ni 0.250 0.750 0.500
Re1 Re 0.750 0.250 0.500
# ΔE_f	0.4665	eV per atom
# ΔE to the lowest computed polymorph	357	meV/atom
# ρ	8.11	Mg/m³
# space-group type	No. 139
# calculated volume	53.0	Å³/f.u.


# Ce2BS5, optimized geometry, DFT PBE-GGA
data_Ce2BS5
_space_group_name_H-M_alt 'P 1'
_space_group_IT_number 1
_cell_length_a 6.754
_cell_length_b 6.755
_cell_length_c 5.933
_cell_angle_alpha 108.75
_cell_angle_beta 125.59
_cell_angle_gamma 101.90
loop_
_space_group_symop_operation_xyz
'x,y,z'
loop_
_atom_site_label
_atom_site_type_symbol
_atom_site_fract_x
_atom_site_fract_y
_atom_site_fract_z
S1 S 0.184 0.651 0.835
S2 S 0.727 0.811 0.537
S3 S 0.293 0.280 0.189
S4 S 0.910 0.896 0.189
S5 S 0.715 0.226 0.941
Ce1 Ce 0.261 0.685 0.439
Ce2 Ce 0.754 0.177 0.439
B1 B 0.933 0.052 0.985
# E_form (uncorrected)	-1.294	eV/atom
# ρ	4.18	Mg/m³
# space-group type	No. 8
# calculated volume	179.2	Å³/f.u.


# Pr12SmCd3, optimized geometry, DFT PBE-GGA
data_Pr12SmCd3
_space_group_name_H-M_alt 'P 1'
_space_group_IT_number 1
_cell_length_a 5.054
_cell_length_b 5.054
_cell_length_c 20.483
_cell_angle_alpha 90.00
_cell_angle_beta 90.00
_cell_angle_gamma 90.00
loop_
_space_group_symop_operation_xyz
'x,y,z'
loop_
_atom_site_label
_atom_site_type_symbol
_atom_site_fract_x
_atom_site_fract_y
_atom_site_fract_z
Pr1 Pr 0.000 0.500 0.378
Pr2 Pr 0.500 0.500 0.500
Pr3 Pr 0.500 0.000 0.622
Pr4 Pr 0.000 0.500 0.622
Pr5 Pr 0.500 0.000 0.131
Pr6 Pr 0.000 0.500 0.131
Pr7 Pr 0.500 0.500 0.746
Pr8 Pr 0.500 0.000 0.869
Pr9 Pr 0.500 0.000 0.378
Pr10 Pr 0.000 0.500 0.869
Pr11 Pr 0.500 0.500 0.000
Pr12 Pr 0.500 0.500 0.254
Cd1 Cd 0.000 0.000 0.500
Cd2 Cd 0.000 0.000 0.743
Cd3 Cd 0.000 0.000 0.257
Sm1 Sm 0.000 0.000 0.000
# ΔE_f	-0.0768	eV per atom
# ρ	6.91	Mg/m³
# space-group type	No. 123
# calculated volume	523.2	Å³/f.u.


# MgIrF, optimized geometry, DFT PBE-GGA
data_MgIrF
_space_group_name_H-M_alt 'P 1'
_space_group_IT_number 1
_cell_length_a 7.807
_cell_length_b 2.810
_cell_length_c 8.412
_cell_angle_alpha 90.00
_cell_angle_beta 90.00
_cell_angle_gamma 90.00
loop_
_space_group_symop_operation_xyz
'x,y,z'
loop_
_atom_site_label
_atom_site_type_symbol
_atom_site_fract_x
_atom_site_fract_y
_atom_site_fract_z
Ir1 Ir 0.375 0.250 0.535
Ir2 Ir 0.625 0.750 0.465
Ir3 Ir 0.875 0.250 0.965
Ir4 Ir 0.125 0.750 0.035
Mg1 Mg 0.621 0.750 0.141
Mg2 Mg 0.121 0.750 0.359
Mg3 Mg 0.879 0.250 0.641
Mg4 Mg 0.379 0.250 0.859
F1 F 0.055 0.750 0.618
F2 F 0.445 0.250 0.118
F3 F 0.555 0.750 0.882
F4 F 0.945 0.250 0.382
# E_form (uncorrected)	-1.147	eV/atom
# ΔE to the lowest computed polymorph	525	meV/atom
# ρ	8.48	Mg/m³
# space-group type	No. 62
# calculated volume	46.1	Å³/f.u.